No. 1
VASP calculation (GGA-PBE) on a geometry-optimized RbGePt structure.

The space group is F-43m (No. 216) and the conventional cell measures 6.892, 6.892 and 6.892 Å, with angles of 90.00, 90.00 and 90.00 degrees. The asymmetric unit holds Rb at (0.000, 0.000, 0.000), Ge at (0.000, 0.000, 0.500) and Pt at (0.250, 0.250, 0.750).

As for the total magnetization: 0.00 μB/f.u. Its energy above the most stable polymorph in this dataset is 0.0 meV per atom. As for the calculated total energy: -41.5 eV for the cell shown.


No. 2
VASP calculation (GGA-PBE) on a geometry-optimized Re4GePt2 structure.

The space group is P-3m1 (No. 164) and the conventional cell measures 4.1492, 4.1492 and 9.7633 Å, with angles of 90.00, 90.00 and 120.00 degrees. The asymmetric unit holds Re at (0.3333, 0.6667, 0.4413), Re at (0.3333, 0.6667, 0.9542), Ge at (0.0000, 0.0000, 0.0000) and Pt at (0.3333, 0.6667, 0.7042).

As for the total magnetization: 0.03 μB/f.u. As for the calculated total energy: -59.8 eV for the cell shown.


No. 3
VASP calculation (GGA-PBE) on a geometry-optimized Re2GePt structure.

The space group is F-43m (No. 216) and the conventional cell measures 6.268, 6.268 and 6.268 Å, with angles of 90.00, 90.00 and 90.00 degrees. The asymmetric unit holds Re at (0.000, 0.000, 0.000), Re at (0.250, 0.250, 0.250), Ge at (0.000, 0.000, 0.500) and Pt at (0.250, 0.250, 0.750).

As for the total magnetization: 0.60 μB/f.u. As for the calculated total energy: -134.6 eV for the cell shown.


No. 4
VASP calculation (GGA-PBE) on a geometry-optimized ReGePt structure.

The space group is F-43m (No. 216) and the conventional cell measures 5.866, 5.866 and 5.866 Å, with angles of 90.00, 90.00 and 90.00 degrees. The asymmetric unit holds Re at (0.000, 0.000, 0.000), Ge at (0.250, 0.250, 0.750) and Pt at (0.000, 0.000, 0.500).

As for the total magnetization: 0.00 μB/f.u. Its energy above the most stable polymorph in this dataset is 0.0 meV per atom. As for the calculated total energy: -88.4 eV for the cell shown.


No. 5
VASP calculation (GGA-PBE) on a geometry-optimized Ge2PtS structure.

The space group is Pmn2_1 (No. 31) and the conventional cell measures 3.318, 6.618 and 6.817 Å, with angles of 90.00, 90.00 and 90.00 degrees. The asymmetric unit holds Ge at (0.000, 0.027, 0.000), Ge at (0.000, 0.537, 0.393), Pt at (0.000, 0.261, 0.686) and S at (0.000, 0.768, 0.662).

As for the total magnetization: 0.00 μB/f.u. As for the calculated total energy: -39.9 eV for the cell shown.


No. 6
VASP calculation (GGA-PBE) on a geometry-optimized GePtS4 structure.

The space group is P2/m (No. 10) and the conventional cell measures 6.048, 3.507 and 6.992 Å, with angles of 90.00, 106.25 and 90.00 degrees. The asymmetric unit holds Ge at (0.000, 0.000, 0.000), Pt at (0.500, 0.500, 0.000), S at (0.108, 0.500, 0.799) and S at (0.398, 0.000, 0.192).

As for the total magnetization: 0.00 μB/f.u. As for the calculated total energy: -29.2 eV for the cell shown.


No. 7
VASP calculation (GGA-PBE) on a geometry-optimized Ge2PtS structure.

The space group is Pmc2_1 (No. 26) and the conventional cell measures 3.464, 6.600 and 6.867 Å, with angles of 90.00, 90.00 and 90.00 degrees. The asymmetric unit holds Ge at (0.000, 0.145, 0.000), Ge at (0.500, 0.280, 0.494), Pt at (0.500, 0.002, 0.748) and S at (0.000, 0.498, 0.903).

As for the total magnetization: 0.00 μB/f.u. As for the calculated total energy: -40.8 eV for the cell shown.


No. 8
VASP calculation (GGA-PBE) on a geometry-optimized Ge2PtS3 structure.

The space group is Immm (No. 71) and the conventional cell measures 3.506, 4.598 and 14.302 Å, with angles of 90.00, 90.00 and 90.00 degrees. The asymmetric unit holds Ge at (0.000, 0.000, 0.149), Pt at (0.000, 0.000, 0.500), S at (0.000, 0.000, 0.335) and S at (0.000, 0.500, 0.500).

As for the total magnetization: 0.00 μB/f.u. As for the calculated total energy: -55.4 eV for the cell shown.


No. 9
VASP calculation (GGA-PBE) on a geometry-optimized Ge2PtS structure.

The space group is P2_1/m (No. 11) and the conventional cell measures 5.756, 3.477 and 7.326 Å, with angles of 90.00, 96.47 and 90.00 degrees. The asymmetric unit holds Ge at (0.132, 0.250, 0.148), Ge at (0.366, 0.250, 0.685), Pt at (0.305, 0.750, 0.935) and S at (0.241, 0.750, 0.417).

As for the total magnetization: 0.00 μB/f.u. As for the calculated total energy: -40.5 eV for the cell shown.


No. 10
VASP calculation (GGA-PBE) on a geometry-optimized GeSbPt2 structure.

The space group is Pmc2_1 (No. 26) and the conventional cell measures 3.999, 7.248 and 5.469 Å, with angles of 90.00, 90.00 and 90.00 degrees. The asymmetric unit holds Ge at (0.000, 0.148, 0.000), Sb at (0.500, 0.331, 0.503), Pt at (0.000, 0.455, 0.792) and Pt at (0.500, 0.014, 0.251).

As for the total magnetization: 0.00 μB/f.u. As for the calculated total energy: -44.9 eV for the cell shown.


No. 11
VASP calculation (GGA-PBE) on a geometry-optimized Ge3Sb2Pt2 structure.

The space group is R3m (No. 160, hexagonal axes) and the conventional cell measures 4.4887, 4.4887 and 25.4611 Å, with angles of 90.00, 90.00 and 120.00 degrees. The asymmetric unit holds Ge at (0.0000, 0.0000, 0.0000), Ge at (0.0000, 0.0000, 0.2577), Ge at (0.0000, 0.0000, 0.5387), Sb at (0.0000, 0.0000, 0.1381), Sb at (0.0000, 0.0000, 0.7186), Pt at (0.0000, 0.0000, 0.4342) and Pt at (0.0000, 0.0000, 0.9044).

As for the total magnetization: 0.00 μB/f.u. As for the calculated total energy: -104.9 eV for the cell shown.


No. 12
VASP calculation (GGA-PBE) on a geometry-optimized ScGe2Pt structure.

The space group is F-43m (No. 216) and the conventional cell measures 6.569, 6.569 and 6.569 Å, with angles of 90.00, 90.00 and 90.00 degrees. The asymmetric unit holds Sc at (0.000, 0.000, 0.000), Ge at (0.000, 0.000, 0.500), Ge at (0.250, 0.250, 0.750) and Pt at (0.250, 0.250, 0.250).

As for the total magnetization: 0.26 μB/f.u. As for the calculated total energy: -93.5 eV for the cell shown.


No. 13
VASP calculation (GGA-PBE) on a geometry-optimized ScGePt2 structure.

The space group is F-43m (No. 216) and the conventional cell measures 6.457, 6.457 and 6.457 Å, with angles of 90.00, 90.00 and 90.00 degrees. The asymmetric unit holds Sc at (0.000, 0.000, 0.000), Ge at (0.250, 0.250, 0.750), Pt at (0.000, 0.000, 0.500) and Pt at (0.250, 0.250, 0.250).

As for the total magnetization: 0.00 μB/f.u. As for the calculated total energy: -102.7 eV for the cell shown.


No. 14
VASP calculation (GGA-PBE) on a geometry-optimized ScGePt structure.

The space group is Pnma (No. 62) and the conventional cell measures 6.634, 4.258 and 7.489 Å, with angles of 90.00, 90.00 and 90.00 degrees. The asymmetric unit holds Sc at (0.001, 0.250, 0.205), Ge at (0.198, 0.250, 0.593) and Pt at (0.205, 0.750, 0.417).

As for the total magnetization: 0.00 μB/f.u. As for the calculated total energy: -80.9 eV for the cell shown.


No. 15
VASP calculation (GGA-PBE) on a geometry-optimized Ge4PtSe3 structure.

The space group is Pm (No. 6) and the conventional cell measures 6.686, 3.686 and 7.301 Å, with angles of 90.00, 97.03 and 90.00 degrees. The asymmetric unit holds Ge at (0.000, 0.000, 0.000), Ge at (0.171, 0.500, 0.462), Ge at (0.552, 0.500, 0.973), Ge at (0.731, 0.000, 0.426), Pt at (0.858, 0.500, 0.223), Se at (0.338, 0.000, 0.806), Se at (0.358, 0.000, 0.305) and Se at (0.817, 0.500, 0.739).

As for the total magnetization: 0.01 μB/f.u. As for the calculated total energy: -36.1 eV for the cell shown.


No. 16
VASP calculation (GGA-PBE) on a geometry-optimized Ge4Pt3Se structure.

The space group is Pm (No. 6) and the conventional cell measures 6.057, 3.498 and 6.992 Å, with angles of 90.00, 95.24 and 90.00 degrees. The asymmetric unit holds Ge at (0.000, 0.000, 0.000), Ge at (0.193, 0.500, 0.594), Ge at (0.484, 0.500, 0.110), Ge at (0.684, 0.000, 0.431), Pt at (0.276, 0.000, 0.331), Pt at (0.352, 0.000, 0.847), Pt at (0.897, 0.500, 0.239) and Se at (0.787, 0.500, 0.706).

As for the total magnetization: 0.01 μB/f.u. As for the calculated total energy: -42.0 eV for the cell shown.


No. 17
VASP calculation (GGA-PBE) on a geometry-optimized Si3GePt4 structure.

The space group is Pm (No. 6) and the conventional cell measures 5.711, 3.649 and 6.048 Å, with angles of 90.00, 90.15 and 90.00 degrees. The asymmetric unit holds Si at (0.000, 0.000, 0.000), Si at (0.136, 0.500, 0.499), Si at (0.500, 0.000, 0.334), Ge at (0.636, 0.500, 0.829), Pt at (0.307, 0.000, 0.719), Pt at (0.318, 0.500, 0.119), Pt at (0.820, 0.000, 0.598) and Pt at (0.825, 0.500, 0.222).

As for the total magnetization: 0.00 μB/f.u. As for the calculated total energy: -50.1 eV for the cell shown.


No. 18
VASP calculation (GGA-PBE) on a geometry-optimized SiGePt4 structure.

The space group is P4/mmm (No. 123) and the conventional cell measures 3.979, 3.979 and 6.239 Å, with angles of 90.00, 90.00 and 90.00 degrees. The asymmetric unit holds Si at (0.000, 0.000, 0.000), Ge at (0.500, 0.500, 0.500) and Pt at (0.000, 0.500, 0.239).

As for the total magnetization: 0.00 μB/f.u. As for the calculated total energy: -37.7 eV for the cell shown.


No. 19
VASP calculation (GGA-PBE) on a geometry-optimized SiGe2Pt6 structure.

The space group is P-62m (No. 189) and the conventional cell measures 6.6596, 6.6596 and 3.6191 Å, with angles of 90.00, 90.00 and 120.00 degrees. The asymmetric unit holds Si at (0.0000, 0.0000, 0.0000), Ge at (0.3333, 0.6667, 0.5000), Pt at (0.0000, 0.3815, 0.0000) and Pt at (0.0000, 0.7351, 0.5000).

As for the total magnetization: 0.00 μB/f.u. As for the calculated total energy: -55.1 eV for the cell shown.


No. 20
VASP calculation (GGA-PBE) on a geometry-optimized SmSiGePt2 structure.

The space group is P4/nmm (No. 129, origin choice 2) and the conventional cell measures 4.295, 4.295 and 9.996 Å, with angles of 90.00, 90.00 and 90.00 degrees. The asymmetric unit holds Sm at (0.250, 0.250, 0.244), Si at (0.250, 0.750, 0.000), Ge at (0.250, 0.250, 0.637), Pt at (0.250, 0.250, 0.886) and Pt at (0.250, 0.750, 0.500).

As for the total magnetization: 0.00 μB/f.u. Its energy above the most stable polymorph in this dataset is 10.8 meV per atom. As for the calculated total energy: -63.8 eV for the cell shown.


No. 21
VASP calculation (GGA-PBE) on a geometry-optimized SmSiGePt2 structure.

The space group is P4/nmm (No. 129, origin choice 2) and the conventional cell measures 4.290, 4.290 and 10.021 Å, with angles of 90.00, 90.00 and 90.00 degrees. The asymmetric unit holds Sm at (0.250, 0.250, 0.250), Si at (0.250, 0.250, 0.626), Ge at (0.250, 0.750, 0.000), Pt at (0.250, 0.250, 0.862) and Pt at (0.250, 0.750, 0.500).

As for the total magnetization: 0.00 μB/f.u. Its energy above the most stable polymorph in this dataset is 0.0 meV per atom. As for the calculated total energy: -64.0 eV for the cell shown.


No. 22
VASP calculation (GGA-PBE) on a geometry-optimized SrSiGe2Pt structure.

The space group is I4mm (No. 107) and the conventional cell measures 4.485, 4.485 and 10.070 Å, with angles of 90.00, 90.00 and 90.00 degrees. The asymmetric unit holds Sr at (0.000, 0.000, 0.000), Si at (0.000, 0.000, 0.400), Ge at (0.000, 0.500, 0.257) and Pt at (0.000, 0.000, 0.636).

As for the total magnetization: 0.00 μB/f.u. As for the calculated total energy: -51.1 eV for the cell shown.


No. 23
VASP calculation (GGA-PBE) on a geometry-optimized SrSiGePt2 structure.

The space group is P4/nmm (No. 129, origin choice 2) and the conventional cell measures 4.362, 4.362 and 10.216 Å, with angles of 90.00, 90.00 and 90.00 degrees. The asymmetric unit holds Sr at (0.250, 0.250, 0.244), Si at (0.250, 0.750, 0.000), Ge at (0.250, 0.250, 0.632), Pt at (0.250, 0.250, 0.887) and Pt at (0.250, 0.750, 0.500).

As for the total magnetization: 0.00 μB/f.u. Its energy above the most stable polymorph in this dataset is 10.9 meV per atom. As for the calculated total energy: -56.2 eV for the cell shown.


No. 24
VASP calculation (GGA-PBE) on a geometry-optimized SrSi2GePt structure.

The space group is I4mm (No. 107) and the conventional cell measures 4.398, 4.398 and 10.101 Å, with angles of 90.00, 90.00 and 90.00 degrees. The asymmetric unit holds Sr at (0.000, 0.000, 0.000), Si at (0.000, 0.500, 0.255), Ge at (0.000, 0.000, 0.399) and Pt at (0.000, 0.000, 0.652).

As for the total magnetization: 0.00 μB/f.u. As for the calculated total energy: -52.8 eV for the cell shown.


No. 25
VASP calculation (GGA-PBE) on a geometry-optimized SrSiGePt2 structure.

The space group is P4/nmm (No. 129, origin choice 2) and the conventional cell measures 4.397, 4.397 and 9.998 Å, with angles of 90.00, 90.00 and 90.00 degrees. The asymmetric unit holds Sr at (0.250, 0.250, 0.248), Si at (0.250, 0.250, 0.620), Ge at (0.250, 0.750, 0.000), Pt at (0.250, 0.250, 0.864) and Pt at (0.250, 0.750, 0.500).

As for the total magnetization: 0.00 μB/f.u. Its energy above the most stable polymorph in this dataset is 0.0 meV per atom. As for the calculated total energy: -56.4 eV for the cell shown.


No. 26
VASP calculation (GGA-PBE) on a geometry-optimized Y2SiGePt structure.

The space group is C2/m (No. 12) and the conventional cell measures 10.464, 4.287 and 10.303 Å, with angles of 90.00, 117.86 and 90.00 degrees. The asymmetric unit holds Y at (0.005, 0.000, 0.328), Y at (0.186, 0.000, 0.113), Si at (0.139, 0.500, 0.560), Ge at (0.027, 0.500, 0.884) and Pt at (0.230, 0.500, 0.353).

As for the total magnetization: 0.06 μB/f.u. As for the calculated total energy: -137.3 eV for the cell shown.